[1]
NaAc2Ag: relaxed, PBE.

abc: 3.995 3.995 9.047
angles: 90.00 90.00 90.00
Atoms (fractional coordinates):
1 Na 0.500 0.500 0.500
2 Ag 0.500 0.500 0.000
3 Ac 0.000 0.000 0.791
4 Ac 0.000 0.000 0.209

* space-group type: P4/mmm
* energy relative to the lowest polymorph listed for this composition: 0.00 eV per formula unit
* energy of formation from the pure elements: -0.0213 eV/atom

[2]
LaPrY3: relaxed, PBE.

abc: 3.640 10.275 18.092
angles: 90.00 90.00 90.00
Atoms (fractional coordinates):
1 Y 0.750 0.876 0.850
2 Y 0.250 0.627 0.751
3 Y 0.250 0.127 0.749
4 Y 0.750 0.374 0.051
5 Y 0.250 0.624 0.350
6 Y 0.250 0.626 0.949
7 Y 0.750 0.373 0.249
8 Y 0.250 0.124 0.150
9 Y 0.750 0.376 0.650
10 Y 0.750 0.874 0.449
11 Y 0.250 0.126 0.551
12 Y 0.750 0.873 0.251
13 Pr 0.250 0.626 0.549
14 Pr 0.750 0.374 0.451
15 Pr 0.750 0.874 0.049
16 Pr 0.250 0.126 0.951
17 La 0.750 0.378 0.849
18 La 0.750 0.878 0.651
19 La 0.250 0.622 0.151
20 La 0.250 0.122 0.349

* space-group type: Pnma
* energy relative to the lowest polymorph listed for this composition: 0.00 eV per formula unit
* energy of formation from the pure elements: 0.0146 eV/atom

[3]
AlRuBr2: relaxed, PBE.

abc: 9.267 9.267 9.267
angles: 22.85 22.85 22.85
Atoms (fractional coordinates):
1 Br 0.115 0.115 0.115
2 Br 0.885 0.885 0.885
3 Ru 0.500 0.500 0.500
4 Al 0.000 0.000 0.000

* space-group type: R-3m
* energy relative to the lowest polymorph listed for this composition: 2.30 eV per formula unit
* formation energy from raw total energies: 0.37 eV per atom

[4]
Er2Al2ZnRh5: relaxed, PBE.

abc: 3.383 9.877 9.877
angles: 90.00 90.00 90.00
Atoms (fractional coordinates):
1 Rh 0.500 0.000 0.500
2 Rh 0.500 0.500 0.000
3 Rh 0.500 0.566 0.703
4 Rh 0.500 0.203 0.066
5 Rh 0.500 0.934 0.203
6 Rh 0.500 0.297 0.566
7 Rh 0.500 0.703 0.434
8 Rh 0.500 0.797 0.934
9 Rh 0.500 0.434 0.297
10 Rh 0.500 0.066 0.797
11 Zn 0.000 0.500 0.500
12 Zn 0.000 0.000 0.000
13 Er 0.000 0.826 0.674
14 Er 0.000 0.174 0.326
15 Er 0.000 0.674 0.174
16 Er 0.000 0.326 0.826
17 Al 0.000 0.127 0.627
18 Al 0.000 0.627 0.873
19 Al 0.000 0.873 0.373
20 Al 0.000 0.373 0.127

* space-group type: P4/mbm
* energy of formation from the pure elements: -0.8066 eV/atom

Record-wise VASP energy values, in eV/atom: -3.1181 -5.8052 -3.7246 -6.2708
Record-wise DOS(E_F) values, in states/eV/atom: 1.078 1.392 0.568 0.460